Entry 1:
SrCuSi after structural relaxation. Source: Alexandria via LeMat-Bulk, functional PBE.

a = 4.104 Å, b = 4.104 Å, c = 4.702 Å
α = 90.00°, β = 90.00°, γ = 120.00°
Positions (direct):
Sr1 0.000 0.000 0.000
Cu1 0.667 0.333 0.500
Si1 0.333 0.667 0.500

Computed properties:
**DFT total energy**: -12.2 eV/cell
**Spin magnetization**: 0.00 Bohr magnetons per cell
**Formation energy from raw total energies**: -33.58 kJ/mol of atoms



Entry 2:
Cs3CuHg2Cl8 after structural relaxation. Source: Alexandria via LeMat-Bulk, functional PBE.

a = 7.450 Å, b = 7.450 Å, c = 9.848 Å
α = 90.00°, β = 90.00°, γ = 120.00°
Positions (direct):
Cs1 0.000 0.000 0.000
Cs2 0.333 0.667 0.625
Cs3 0.667 0.333 0.375
Cu1 0.000 0.000 0.500
Hg1 0.333 0.667 0.217
Hg2 0.667 0.333 0.783
Cl1 0.154 0.309 0.341
Cl2 0.154 0.846 0.341
Cl3 0.309 0.154 0.659
Cl4 0.333 0.667 0.968
Cl5 0.667 0.333 0.032
Cl6 0.691 0.846 0.341
Cl7 0.846 0.154 0.659
Cl8 0.846 0.691 0.659

Computed properties:
**DFT total energy**: -38.4 eV/cell
**Spin magnetization**: 0.00 Bohr magnetons per cell
**Formation energy from raw total energies**: -112.82 kJ/mol of atoms



Entry 3:
Rb2U3I4O20 after structural relaxation. Source: Alexandria via LeMat-Bulk, functional PBE.

a = 7.100 Å, b = 8.289 Å, c = 9.428 Å
α = 90.13°, β = 104.51°, γ = 91.42°
Positions (direct):
Rb1 0.250 0.098 0.344
Rb2 0.750 0.902 0.656
U1 0.000 0.500 0.500
U2 0.452 0.586 0.312
U3 0.548 0.414 0.688
I1 0.119 0.288 0.867
I2 0.302 0.854 0.949
I3 0.698 0.146 0.051
I4 0.881 0.712 0.133
O1 0.042 0.705 0.576
O2 0.053 0.791 0.956
O3 0.099 0.091 0.781
O4 0.115 0.623 0.224
O5 0.224 0.401 0.729
O6 0.310 0.492 0.488
O7 0.352 0.028 0.075
O8 0.425 0.384 0.229
O9 0.442 0.700 0.070
O10 0.475 0.793 0.386
O11 0.525 0.207 0.614
O12 0.558 0.300 0.930
O13 0.575 0.616 0.771
O14 0.648 0.972 0.925
O15 0.690 0.508 0.512
O16 0.776 0.599 0.271
O17 0.885 0.377 0.776
O18 0.901 0.909 0.219
O19 0.947 0.209 0.044
O20 0.958 0.295 0.424

Computed properties:
**DFT total energy**: -189.8 eV/cell
**Spin magnetization**: 0.00 Bohr magnetons per cell
**Formation energy from raw total energies**: -161.80 kJ/mol of atoms



Entry 4:
Zn7Ag12Hg after structural relaxation. Source: Alexandria via LeMat-Bulk, functional PBE.

a = 7.308 Å, b = 7.308 Å, c = 7.308 Å
α = 98.60°, β = 98.60°, γ = 98.60°
Positions (direct):
Zn1 0.000 0.000 0.000
Zn2 0.123 0.433 0.434
Zn3 0.433 0.434 0.123
Zn4 0.434 0.123 0.433
Zn5 0.566 0.877 0.567
Zn6 0.567 0.566 0.877
Zn7 0.877 0.567 0.566
Ag1 0.063 0.354 0.064
Ag2 0.064 0.063 0.354
Ag3 0.256 0.741 0.742
Ag4 0.258 0.744 0.259
Ag5 0.259 0.258 0.744
Ag6 0.354 0.064 0.063
Ag7 0.646 0.936 0.937
Ag8 0.741 0.742 0.256
Ag9 0.742 0.256 0.741
Ag10 0.744 0.259 0.258
Ag11 0.936 0.937 0.646
Ag12 0.937 0.646 0.936
Hg1 0.500 0.500 0.500

Computed properties:
**DFT total energy**: -40.3 eV/cell
**Spin magnetization**: 0.00 Bohr magnetons per cell
**Formation energy from the elements**: 0.157 eV per atom



Entry 5:
FeTc2Os after structural relaxation. Source: Alexandria via LeMat-Bulk, functional PBE.

a = 4.640 Å, b = 4.640 Å, c = 4.672 Å
α = 99.39°, β = 99.39°, γ = 33.95°
Positions (direct):
Fe1 0.000 0.000 0.000
Tc1 0.251 0.251 0.759
Tc2 0.497 0.497 0.493
Os1 0.748 0.748 0.246

Computed properties:
**DFT total energy**: -40.0 eV/cell
**E above lowest polymorph**: 32 meV per atom
**Spin magnetization**: 1.74 Bohr magnetons per cell
**Formation energy from the elements**: 0.110 eV per atom



Entry 6:
LuHgI2 after structural relaxation. Source: Alexandria via LeMat-Bulk, functional PBE.

a = 12.359 Å, b = 12.359 Å, c = 12.359 Å
α = 18.76°, β = 18.76°, γ = 18.76°
Positions (direct):
Lu1 0.000 0.000 0.000
Hg1 0.500 0.500 0.500
I1 0.386 0.386 0.386
I2 0.614 0.614 0.614

Computed properties:
**DFT total energy**: -11.0 eV/cell
**Spin magnetization**: 0.02 Bohr magnetons per cell
**Formation energy from raw total energies**: -74.05 kJ/mol of atoms



Q: Which of these has the highest spin magnetization?
A: FeTc2Os